Record 1
PaNF | PBE | relaxed

Output
Energy relative to the elements, uncorrected   -2130.6 meV/atom

a = 3.738 Å, b = 3.738 Å, c = 4.053 Å
α = 90.00°, β = 90.00°, γ = 120.00°
Atoms (fractional coordinates):
1 F 0.333 0.667 0.572
2 Pa 0.667 0.333 0.294
3 N 0.000 0.000 0.134

***

Record 2
PaNF | PBE | relaxed

Output
Energy relative to the elements, uncorrected   -2083.0 meV/atom

a = 3.305 Å, b = 3.305 Å, c = 5.318 Å
α = 108.10°, β = 108.10°, γ = 90.00°
Atoms (fractional coordinates):
1 N 0.268 0.268 0.537
2 Pa 0.753 0.753 0.506
3 F 0.979 0.979 0.957

***

Record 3
PmPaN2F | PBE | relaxed

Output
Energy relative to the elements, uncorrected   -2234.9 meV/atom

a = 3.521 Å, b = 3.521 Å, c = 11.617 Å
α = 90.00°, β = 90.00°, γ = 90.00°
Atoms (fractional coordinates):
1 Pa 0.000 0.500 0.889
2 Pa 0.500 0.000 0.111
3 F 0.000 0.000 0.500
4 F 0.500 0.500 0.500
5 N 0.500 0.000 0.290
6 N 0.000 0.500 0.113
7 N 0.000 0.500 0.710
8 N 0.500 0.000 0.887
9 Pm 0.500 0.000 0.646
10 Pm 0.000 0.500 0.354

***

no.,N(E_F) (states/eV per atom),V (A^3/atom)
1,0.65,16.35
2,0.91,17.39
3,0.19,14.40